Density functional theory data (PBE) for a geometry-optimized Ba5Cd2Hg structure.

Structure (extended XYZ):
```
16
Lattice="6.023 0.000 0.000 0.000 7.761 0.000 0.000 0.000 14.802" Properties=species:S:1:pos:R:3 pbc="T T T"
Ba 3.012 2.584 1.517
Ba 3.012 5.177 13.285
Ba 3.012 6.465 5.884
Ba 3.012 1.297 8.918
Ba 0.000 6.646 10.612
Ba 0.000 1.115 4.191
Ba 0.000 2.766 11.592
Ba 0.000 4.996 3.211
Ba 0.000 3.881 7.401
Ba 0.000 0.000 0.000
Cd 3.012 2.858 5.328
Cd 3.012 4.903 9.474
Cd 3.012 1.022 12.729
Cd 3.012 6.739 2.073
Hg 0.000 0.000 7.401
Hg 0.000 3.881 0.000
```

Computed properties:
DFT total energy = -1.735 eV/atom
formation energy = -0.27 eV per atom


Density functional theory data (PBE) for a geometry-optimized Dy8Cd2Pt structure.

Structure (extended XYZ):
```
11
Lattice="5.254 0.000 0.000 0.000 6.896 0.108 -2.627 -2.828 8.465" Properties=species:S:1:pos:R:3 pbc="T T T"
Dy 0.000 1.587 6.990
Dy 2.627 5.749 2.698
Dy 2.627 3.132 5.121
Dy 2.627 -1.190 8.137
Dy 0.000 0.936 3.452
Dy 0.000 -1.681 5.875
Dy 2.627 2.481 1.583
Dy 0.000 5.257 0.437
Cd 2.627 0.145 5.378
Cd 0.000 3.923 3.195
Pt 2.627 0.000 0.000
```

Computed properties:
DFT total energy = -4.371 eV/atom
formation energy = -0.31 eV per atom


Density functional theory data (PBE) for a geometry-optimized Ce7TlGa3 structure.

Structure (extended XYZ):
```
11
Lattice="5.806 -0.135 -0.173 -2.783 7.381 0.168 -2.783 -1.626 7.202" Properties=species:S:1:pos:R:3 pbc="T T T"
Ce 0.048 0.852 1.091
Ce 0.076 -0.494 4.334
Ce 0.163 1.295 6.625
Ce 0.076 4.324 0.572
Ce -2.783 2.877 3.685
Ce 0.163 6.113 2.863
Ce 0.192 4.768 6.106
Tl 0.120 2.810 3.598
Ga -2.783 5.245 1.836
Ga 2.903 -0.068 -0.087
Ga -2.783 0.510 5.534
```

Computed properties:
DFT total energy = -5.004 eV/atom
formation energy = -0.19 eV per atom


Density functional theory data (PBE) for a geometry-optimized Dy7Ho2In2 structure.

Structure (extended XYZ):
```
11
Lattice="-2.416 -1.085 -2.454 -7.773 -2.856 6.260 -7.435 7.081 1.533" Properties=species:S:1:pos:R:3 pbc="T T T"
Dy -4.588 1.365 -1.398
Dy -11.924 3.540 2.207
Dy -8.652 6.267 0.435
Dy -7.484 0.097 2.013
Dy -10.202 1.225 4.191
Dy -12.931 4.828 5.285
Dy -5.584 2.996 1.517
Ho -13.621 1.629 4.723
Ho -4.063 -0.251 1.455
In -7.700 -0.709 5.239
In -8.755 3.242 1.874
```

Computed properties:
DFT total energy = -4.297 eV/atom
formation energy = -0.04 eV per atom


Density functional theory data (PBE) for a geometry-optimized CaTbAl2Zn2 structure.

Structure (extended XYZ):
```
6
Lattice="4.555 0.000 0.000 -2.277 3.945 0.000 0.000 0.000 7.269" Properties=species:S:1:pos:R:3 pbc="T T T"
Ca 0.000 0.000 0.000
Tb 0.000 0.000 3.634
Al 0.000 2.630 5.241
Al 2.277 1.315 2.027
Zn 0.000 2.630 2.035
Zn 2.277 1.315 5.233
```

Computed properties:
DFT total energy = -3.157 eV/atom
formation energy = -0.38 eV per atom


Density functional theory data (PBE) for a geometry-optimized Ti3VI structure.

Structure (extended XYZ):
```
5
Lattice="-1.502 -1.683 -4.376 3.715 -3.230 -0.033 -2.860 -3.312 2.255" Properties=species:S:1:pos:R:3 pbc="T T T"
I 0.000 0.000 0.000
V -0.324 -4.113 -1.077
Ti 1.857 -1.615 -0.016
Ti -1.430 -1.656 1.128
Ti -0.751 -0.841 -2.188
```

Computed properties:
DFT total energy = -5.611 eV/atom
excess energy over the best structure of this formula in the dataset = 11.54 kcal/mol of atoms
formation energy without anion corrections = 1260 meV per atom


Density functional theory data (PBE) for a geometry-optimized SrCa2CrFe structure.

Structure (extended XYZ):
```
5
Lattice="-5.545 -0.883 -0.049 0.200 -1.574 5.657 -0.863 5.337 1.516" Properties=species:S:1:pos:R:3 pbc="T T T"
Sr 0.100 -0.787 2.829
Ca -0.432 2.669 0.758
Ca -2.773 -0.441 -0.025
Fe -3.104 1.440 3.562
Cr 0.000 0.000 0.000
```

Computed properties:
DFT total energy = -3.647 eV/atom
formation energy = 1.11 eV per atom


Density functional theory data (PBE) for a geometry-optimized Np2InGe3Ir4 structure.

Structure (extended XYZ):
```
10
Lattice="4.103 0.000 0.000 0.000 4.103 0.000 0.000 0.000 11.195" Properties=species:S:1:pos:R:3 pbc="T T T"
Np 2.051 0.000 2.729
Np 0.000 2.051 8.466
In 2.051 2.051 5.597
Ge 0.000 0.000 5.597
Ge 2.051 0.000 9.808
Ge 0.000 2.051 1.386
Ir 2.051 2.051 0.000
Ir 0.000 0.000 0.000
Ir 2.051 0.000 7.396
Ir 0.000 2.051 3.798
```

Computed properties:
DFT total energy = -8.133 eV/atom
formation energy = -0.34 eV per atom